# HfHgAs2

HfHgAs2 after structural relaxation (PBE, OQMD).

The structure in POSCAR format:
```
HfHgAs2
1.0
0.000 3.440 3.440
3.440 0.000 3.440
3.440 3.440 0.000
Hf Hg As
1 1 2
Cartesian
0.000 0.000 0.000
5.160 5.160 5.160
1.720 1.720 1.720
3.440 3.440 3.440
```

Summary:
The value obtained for the total DFT energy (no corrections) is -4.715 eV per atom. As for the space-group type: F-43m.